# PBE SmTlNiTe3, relaxed
data_SmTlNiTe3
_chemical_formula_sum 'Sm4 Tl4 Ni4 Te12'
_cell_length_a 12.665
_cell_length_b 4.282
_cell_length_c 12.918
_cell_angle_alpha 90.00
_cell_angle_beta 90.00
_cell_angle_gamma 90.00
_space_group_name_H-M_alt 'P n m a'
_space_group_IT_number 62
loop_
_space_group_symop_operation_xyz
'x,y,z'
'-x,-y,-z'
'-x+1/2,-y,z+1/2'
'x+1/2,y,-z+1/2'
'x+1/2,-y+1/2,-z+1/2'
'-x+1/2,y+1/2,z+1/2'
'-x,y+1/2,-z'
'x,-y+1/2,z'
loop_
_atom_site_label
_atom_site_type_symbol
_atom_site_fract_x
_atom_site_fract_y
_atom_site_fract_z
Sm1 Sm 0.040 0.250 0.191
Tl1 Tl 0.195 0.250 0.499
Ni1 Ni 0.234 0.750 0.316
Te1 Te 0.038 0.750 0.363
Te2 Te 0.099 0.250 0.935
Te3 Te 0.212 0.750 0.723
# - Distance to the lowest polymorph of the same formula: 0.0095 eV per atom
# - Total energy: -4.331 eV/atom

# PBE Hf4TlGeC2, relaxed
data_Hf4TlGeC2
_chemical_formula_sum 'Hf4 Tl1 Ge1 C2'
_cell_length_a 3.3227
_cell_length_b 3.3227
_cell_length_c 14.2131
_cell_angle_alpha 90.00
_cell_angle_beta 90.00
_cell_angle_gamma 120.00
_space_group_name_H-M_alt 'P -6 m 2'
_space_group_IT_number 187
_space_group_name_Hall 'P -6 2'
loop_
_atom_site_label
_atom_site_type_symbol
_atom_site_fract_x
_atom_site_fract_y
_atom_site_fract_z
Hf1 Hf 0.0000 0.0000 0.1521
Hf2 Hf 0.3333 0.6667 0.3245
Tl1 Tl 0.0000 0.0000 0.5000
Ge1 Ge 0.3333 0.6667 0.0000
C1 C 0.6667 0.3333 0.2399
# - Total energy: -8.880 eV/atom

| no. | theoretical density (g/cm³) |
| --- | --- |
| 1 | 7.55 |
| 2 | 12.40 |